# TlPt2I

Crystalline TlPt2I at its relaxed geometry (PBE, Alexandria).

Summary:
offset from the most stable computed form	0.000	eV per atom
SG	I-42d
crystal system	tetragonal
energy relative to the elements, uncorrected	0.328	eV per atom
total energy	-3.67	eV per atom

abc: 8.6144 8.6144 8.6144
angles: 144.09 144.09 51.70
Element x y z (fractional)
1 Tl 0.0000 0.0000 0.0000
2 Tl 0.7500 0.2500 0.5000
3 Pt 0.1758 0.6250 0.0508
4 Pt 0.3750 0.4258 0.5508
5 Pt 0.5742 0.1250 0.9492
6 Pt 0.8750 0.8242 0.4492
7 I 0.2500 0.7500 0.5000
8 I 0.5000 0.5000 0.0000